# PmDy4Y2Ho2

A geometry-optimized PmDy4Y2Ho2 structure (PBE, the Alexandria database).

Output
crystal system	monoclinic
total moment	0.000	μB/cell
uncorrected energy	-5.03	eV/atom
space group	C2/m

```
PmDy4Y2Ho2
1.0
-1.350 2.094 -2.581
2.288 -7.743 -4.984
-8.539 -0.270 4.247
Y Dy Pm Ho
2 4 1 2
direct
0.852 0.704 0.333 Y
0.148 0.296 0.667 Y
0.481 0.963 0.666 Dy
0.519 0.037 0.334 Dy
0.185 0.371 0.335 Dy
0.815 0.629 0.665 Dy
0.000 0.000 0.000 Pm
0.332 0.665 0.998 Ho
0.668 0.335 0.002 Ho
```